La2GaCoBr | PBE | relaxed

Cell lengths 5.4136, 5.4136, 4.5441 Å; angles 90.00, 90.00, 90.00 degrees
Sites, in units of the cell vectors:
Co 0.0000 0.0000 0.0000
Ga 0.0000 0.0000 0.5000
Br 0.5000 0.5000 0.5000
La 0.0000 0.5000 0.0000
La 0.5000 0.0000 0.0000

Raw formation energy: -0.66 eV/atom
Energy: -24.967 eV per cell


LaGa2CoBr | PBE | relaxed

Cell lengths 4.6108, 4.6108, 5.3045 Å; angles 90.00, 90.00, 90.00 degrees
Sites, in units of the cell vectors:
Co 0.0000 0.0000 0.0000
Ga 0.0000 0.5000 0.0000
Ga 0.5000 0.0000 0.0000
Br 0.5000 0.5000 0.5000
La 0.0000 0.0000 0.5000

Raw formation energy: -0.72 eV/atom
Energy: -23.348 eV per cell


Nd8GaCo3Br4 | PBE | relaxed

Cell lengths 8.1896, 9.0697, 8.1886 Å; angles 116.85, 120.00, 90.00 degrees
Sites, in units of the cell vectors:
Nd 0.2418 0.6965 0.9554
Nd 0.2416 0.6966 0.4832
Nd 0.2673 0.3025 0.5346
Nd 0.7136 0.6965 0.9554
Nd 0.2864 0.3035 0.0446
Nd 0.7327 0.6975 0.4654
Nd 0.7584 0.3034 0.5168
Nd 0.7582 0.3035 0.0446
Ga 0.0000 0.5000 0.0000
Co 0.5000 0.5000 0.0000
Co 0.5000 0.5000 0.5000
Co 0.0000 0.5000 0.5000
Br 0.5000 0.0000 0.0000
Br 0.5000 0.0000 0.5000
Br 0.0000 0.0000 0.0000
Br 0.0000 0.0000 0.5000

Raw formation energy: -0.73 eV/atom
Energy: -80.833 eV per cell